# 1
Below is NdPuZn2 after structural relaxation, with properties calculated at the PBE level.

Computed properties:
The formation energy is -0.166 eV per atom. As for the final energy: -22.31 eV/cell. The space-group type is P4/mmm. Its spin magnetization is 6.23 μB per cell. The volume is 24.0 A^3/atom. As for the density of states at the Fermi level: 1.877 states/eV per atom.

```
data_NdPuZn2
_cell_length_a 5.126
_cell_length_b 5.126
_cell_length_c 3.656
_cell_angle_alpha 90.00
_cell_angle_beta 90.00
_cell_angle_gamma 90.00
_space_group_name_H-M_alt 'P 1'
_space_group_IT_number 1
_space_group_name_Hall 'P 1'
loop_
_atom_site_label
_atom_site_type_symbol
_atom_site_fract_x
_atom_site_fract_y
_atom_site_fract_z
_atom_site_occupancy
Nd1 Nd 0.000 0.000 0.000 1
Pu1 Pu 0.500 0.500 0.000 1
Zn1 Zn 0.000 0.500 0.500 1
Zn2 Zn 0.500 0.000 0.500 1
```



# 2
Below is NdPu3Zn8 after structural relaxation, with properties calculated at the PBE level.

Computed properties:
The formation energy is -0.182 eV per atom. As for the final energy: -60.14 eV/cell. The space-group type is P3m1. Its spin magnetization is 5.56 μB per cell. The volume is 19.4 A^3/atom. As for the density of states at the Fermi level: 1.991 states/eV per atom.

```
data_NdPu3Zn8
_cell_length_a 5.539
_cell_length_b 5.539
_cell_length_c 8.746
_cell_angle_alpha 90.00
_cell_angle_beta 90.00
_cell_angle_gamma 120.00
_space_group_name_H-M_alt 'P 1'
_space_group_IT_number 1
_space_group_name_Hall 'P 1'
loop_
_atom_site_label
_atom_site_type_symbol
_atom_site_fract_x
_atom_site_fract_y
_atom_site_fract_z
_atom_site_occupancy
Nd1 Nd 0.000 0.000 0.000 1
Pu1 Pu 0.000 0.000 0.385 1
Pu2 Pu 0.667 0.333 0.497 1
Pu3 Pu 0.667 0.333 0.857 1
Zn1 Zn 0.169 0.338 0.684 1
Zn2 Zn 0.169 0.831 0.684 1
Zn3 Zn 0.333 0.667 0.432 1
Zn4 Zn 0.333 0.667 0.936 1
Zn5 Zn 0.501 0.003 0.185 1
Zn6 Zn 0.501 0.499 0.185 1
Zn7 Zn 0.662 0.831 0.684 1
Zn8 Zn 0.997 0.499 0.185 1
```



# 3
Below is NdPuZn4 after structural relaxation, with properties calculated at the PBE level.

Computed properties:
The formation energy is -0.204 eV per atom. As for the final energy: -25.42 eV/cell. The space-group type is F-43m. Its spin magnetization is 5.29 μB per cell. The volume is 20.0 A^3/atom. As for the density of states at the Fermi level: 1.821 states/eV per atom.

```
data_NdPuZn4
_cell_length_a 5.532
_cell_length_b 5.532
_cell_length_c 5.532
_cell_angle_alpha 60.00
_cell_angle_beta 60.00
_cell_angle_gamma 60.00
_space_group_name_H-M_alt 'P 1'
_space_group_IT_number 1
_space_group_name_Hall 'P 1'
loop_
_atom_site_label
_atom_site_type_symbol
_atom_site_fract_x
_atom_site_fract_y
_atom_site_fract_z
_atom_site_occupancy
Nd1 Nd 0.000 0.000 0.000 1
Pu1 Pu 0.250 0.250 0.250 1
Zn1 Zn 0.124 0.625 0.625 1
Zn2 Zn 0.625 0.124 0.625 1
Zn3 Zn 0.625 0.625 0.124 1
Zn4 Zn 0.625 0.625 0.625 1
```



# 4
Below is Nd4PuZn5 after structural relaxation, with properties calculated at the PBE level.

Computed properties:
The formation energy is -0.248 eV per atom. As for the final energy: -42.25 eV/cell. The space-group type is P4/mmm. Its spin magnetization is 6.43 μB per cell. The volume is 24.6 A^3/atom. As for the density of states at the Fermi level: 1.410 states/eV per atom.

```
data_Nd4PuZn5
_cell_length_a 3.667
_cell_length_b 3.667
_cell_length_c 18.284
_cell_angle_alpha 90.00
_cell_angle_beta 90.00
_cell_angle_gamma 90.00
_space_group_name_H-M_alt 'P 1'
_space_group_IT_number 1
_space_group_name_Hall 'P 1'
loop_
_atom_site_label
_atom_site_type_symbol
_atom_site_fract_x
_atom_site_fract_y
_atom_site_fract_z
_atom_site_occupancy
Nd1 Nd 0.000 0.000 0.102 1
Nd2 Nd 0.000 0.000 0.304 1
Nd3 Nd 0.000 0.000 0.696 1
Nd4 Nd 0.000 0.000 0.898 1
Pu1 Pu 0.000 0.000 0.500 1
Zn1 Zn 0.500 0.500 0.000 1
Zn2 Zn 0.500 0.500 0.202 1
Zn3 Zn 0.500 0.500 0.404 1
Zn4 Zn 0.500 0.500 0.596 1
Zn5 Zn 0.500 0.500 0.798 1
```



# 5
Below is NdPu2Zn after structural relaxation, with properties calculated at the PBE level.

Computed properties:
The formation energy is 0.117 eV per atom. As for the final energy: -34.24 eV/cell. The space-group type is P4/mmm. Its spin magnetization is 11.88 μB per cell. The volume is 27.0 A^3/atom. As for the density of states at the Fermi level: 3.640 states/eV per atom.

```
data_NdPu2Zn
_cell_length_a 3.568
_cell_length_b 3.568
_cell_length_c 8.495
_cell_angle_alpha 90.00
_cell_angle_beta 90.00
_cell_angle_gamma 90.00
_space_group_name_H-M_alt 'P 1'
_space_group_IT_number 1
_space_group_name_Hall 'P 1'
loop_
_atom_site_label
_atom_site_type_symbol
_atom_site_fract_x
_atom_site_fract_y
_atom_site_fract_z
_atom_site_occupancy
Nd1 Nd 0.000 0.000 0.000 1
Pu1 Pu 0.500 0.500 0.298 1
Pu2 Pu 0.500 0.500 0.702 1
Zn1 Zn 0.000 0.000 0.500 1
```



# 6
Below is Nd3PuZn4 after structural relaxation, with properties calculated at the PBE level.

Computed properties:
The formation energy is -0.231 eV per atom. As for the final energy: -35.58 eV/cell. The space-group type is P4/mmm. Its spin magnetization is 6.48 μB per cell. The volume is 24.5 A^3/atom. As for the density of states at the Fermi level: 1.552 states/eV per atom.

```
data_Nd3PuZn4
_cell_length_a 3.662
_cell_length_b 3.662
_cell_length_c 14.615
_cell_angle_alpha 90.00
_cell_angle_beta 90.00
_cell_angle_gamma 90.00
_space_group_name_H-M_alt 'P 1'
_space_group_IT_number 1
_space_group_name_Hall 'P 1'
loop_
_atom_site_label
_atom_site_type_symbol
_atom_site_fract_x
_atom_site_fract_y
_atom_site_fract_z
_atom_site_occupancy
Nd1 Nd 0.000 0.000 0.000 1
Nd2 Nd 0.000 0.000 0.254 1
Nd3 Nd 0.000 0.000 0.746 1
Pu1 Pu 0.000 0.000 0.500 1
Zn1 Zn 0.500 0.500 0.126 1
Zn2 Zn 0.500 0.500 0.380 1
Zn3 Zn 0.500 0.500 0.620 1
Zn4 Zn 0.500 0.500 0.874 1
```



# 7
Below is Nd2PuZn after structural relaxation, with properties calculated at the PBE level.

Computed properties:
The formation energy is -0.042 eV per atom. As for the final energy: -25.31 eV/cell. The space-group type is P4/mmm. Its spin magnetization is 6.52 μB per cell. The volume is 28.4 A^3/atom. As for the density of states at the Fermi level: 2.410 states/eV per atom.

```
data_Nd2PuZn
_cell_length_a 3.637
_cell_length_b 3.637
_cell_length_c 8.586
_cell_angle_alpha 90.00
_cell_angle_beta 90.00
_cell_angle_gamma 90.00
_space_group_name_H-M_alt 'P 1'
_space_group_IT_number 1
_space_group_name_Hall 'P 1'
loop_
_atom_site_label
_atom_site_type_symbol
_atom_site_fract_x
_atom_site_fract_y
_atom_site_fract_z
_atom_site_occupancy
Nd1 Nd 0.000 0.000 0.214 1
Nd2 Nd 0.000 0.000 0.786 1
Pu1 Pu 0.500 0.500 0.500 1
Zn1 Zn 0.500 0.500 0.000 1
```



# 8
Below is Nd2PuZn after structural relaxation, with properties calculated at the PBE level.

Computed properties:
The formation energy is 0.245 eV per atom. As for the final energy: -24.16 eV/cell. The space-group type is R-3m. Its spin magnetization is 6.45 μB per cell. The volume is 30.1 A^3/atom. As for the density of states at the Fermi level: 3.056 states/eV per atom.

```
data_Nd2PuZn
_cell_length_a 11.698
_cell_length_b 11.698
_cell_length_c 11.698
_cell_angle_alpha 17.06
_cell_angle_beta 17.06
_cell_angle_gamma 17.06
_space_group_name_H-M_alt 'P 1'
_space_group_IT_number 1
_space_group_name_Hall 'P 1'
loop_
_atom_site_label
_atom_site_type_symbol
_atom_site_fract_x
_atom_site_fract_y
_atom_site_fract_z
_atom_site_occupancy
Nd1 Nd 0.098 0.098 0.098 1
Nd2 Nd 0.902 0.902 0.902 1
Pu1 Pu 0.000 0.000 0.000 1
Zn1 Zn 0.500 0.500 0.500 1
```



# 9
Below is NdPuZr after structural relaxation, with properties calculated at the PBE level.

Computed properties:
The formation energy is 0.207 eV per atom. As for the final energy: -27.03 eV/cell. The space-group type is P3m1. Its spin magnetization is 5.49 μB per cell. The volume is 27.5 A^3/atom. As for the density of states at the Fermi level: 2.871 states/eV per atom.

```
data_NdPuZr
_cell_length_a 3.378
_cell_length_b 3.378
_cell_length_c 8.354
_cell_angle_alpha 90.00
_cell_angle_beta 90.00
_cell_angle_gamma 120.00
_space_group_name_H-M_alt 'P 1'
_space_group_IT_number 1
_space_group_name_Hall 'P 1'
loop_
_atom_site_label
_atom_site_type_symbol
_atom_site_fract_x
_atom_site_fract_y
_atom_site_fract_z
_atom_site_occupancy
Nd1 Nd 0.000 0.000 0.000 1
Pu1 Pu 0.667 0.333 0.356 1
Zr1 Zr 0.333 0.667 0.660 1
```



# 10
Below is NdPuZr after structural relaxation, with properties calculated at the PBE level.

Computed properties:
The formation energy is 0.176 eV per atom. As for the final energy: -27.12 eV/cell. The space-group type is I4mm. Its spin magnetization is 5.60 μB per cell. The volume is 27.6 A^3/atom. As for the density of states at the Fermi level: 2.146 states/eV per atom.

```
data_NdPuZr
_cell_length_a 7.702
_cell_length_b 7.702
_cell_length_c 7.702
_cell_angle_alpha 154.78
_cell_angle_beta 154.78
_cell_angle_gamma 35.97
_space_group_name_H-M_alt 'P 1'
_space_group_IT_number 1
_space_group_name_Hall 'P 1'
loop_
_atom_site_label
_atom_site_type_symbol
_atom_site_fract_x
_atom_site_fract_y
_atom_site_fract_z
_atom_site_occupancy
Nd1 Nd 0.000 0.000 0.000 1
Pu1 Pu 0.318 0.318 0.000 1
Zr1 Zr 0.670 0.670 0.000 1
```



- Which of these has the lowest spin magnetization?
  NdPuZn4